Here is a relaxed structure of SrFeTeI2 from the Alexandria database. Energies are from GGA-PBE.

Cell and atoms, written as extended XYZ:
```
5
Lattice="6.288 0.000 0.000 0.000 6.288 0.000 0.000 0.000 6.474" Properties=species:S:1:pos:R:3 pbc="T T T"
Fe 3.144 3.144 3.237
Sr 0.000 0.000 0.000
I 0.000 3.144 0.000
I 3.144 0.000 0.000
Te 0.000 0.000 3.237
```

Output
The value obtained for the raw total energy is -3.046 eV per atom. The value obtained for the energy above the most stable polymorph in this dataset is 0.725 eV per atom.

=====

Here is a relaxed structure of SrFeTe2I from the Alexandria database. Energies are from GGA-PBE.

Cell and atoms, written as extended XYZ:
```
5
Lattice="5.193 0.000 0.000 0.000 5.193 0.000 0.000 0.000 5.900" Properties=species:S:1:pos:R:3 pbc="T T T"
Te 2.597 0.000 0.000
Te 0.000 2.597 0.000
I 0.000 0.000 2.950
Fe 0.000 0.000 0.000
Sr 2.597 2.597 2.950
```

Output
The value obtained for the raw total energy is -4.054 eV per atom. The value obtained for the energy above the most stable polymorph in this dataset is 0.000 eV per atom.

=====

Here is a relaxed structure of SrFeTeI2 from the Alexandria database. Energies are from GGA-PBE.

Cell and atoms, written as extended XYZ:
```
5
Lattice="5.521 0.000 0.000 0.000 5.521 0.000 0.000 0.000 5.383" Properties=species:S:1:pos:R:3 pbc="T T T"
I 0.000 2.760 0.000
I 2.760 0.000 0.000
Fe 0.000 0.000 0.000
Te 0.000 0.000 2.692
Sr 2.760 2.760 2.692
```

Output
The value obtained for the raw total energy is -3.771 eV per atom. The value obtained for the energy above the most stable polymorph in this dataset is 0.000 eV per atom.

=====

Here is a relaxed structure of SrTlFeI5 from the Alexandria database. Energies are from GGA-PBE.

Cell and atoms, written as extended XYZ:
```
16
Lattice="8.587 0.151 -0.115 -2.363 8.257 -0.115 -2.750 -3.714 10.623" Properties=species:S:1:pos:R:3 pbc="T T T"
Fe 4.422 1.797 2.541
Fe -0.947 2.897 7.852
I -1.008 5.283 6.741
I 6.722 2.435 1.429
I -3.248 2.258 8.963
I -0.210 1.247 5.920
I 3.685 3.447 4.473
I 0.846 2.673 9.784
I 4.483 -0.590 3.652
I 5.407 -1.807 7.852
I 2.629 2.020 0.608
I -1.932 6.501 2.541
Tl 2.623 0.254 7.852
Tl 0.852 4.440 2.541
Sr -1.375 -1.857 5.311
Sr 0.000 0.000 0.000
```

Output
The value obtained for the raw total energy is -3.336 eV per atom.

=====

Here is a relaxed structure of TaFeI2 from the Alexandria database. Energies are from GGA-PBE.

Cell and atoms, written as extended XYZ:
```
8
Lattice="6.149 0.000 0.000 0.000 6.149 0.000 3.075 3.075 5.497" Properties=species:S:1:pos:R:3 pbc="T T T"
Fe 3.075 6.149 2.749
Fe 3.075 3.075 0.000
I 4.390 1.537 1.374
I 4.612 4.834 4.123
I 1.760 4.612 1.374
I 7.687 7.464 4.123
Ta 6.149 3.075 2.749
Ta 0.000 0.000 0.000
```

Output
The value obtained for the raw total energy is -4.684 eV per atom. The value obtained for the energy above the most stable polymorph in this dataset is 0.076 eV per atom.

=====

Here is a relaxed structure of TaFeI2 from the Alexandria database. Energies are from GGA-PBE.

Cell and atoms, written as extended XYZ:
```
4
Lattice="0.328 -3.462 3.286 -3.634 -0.793 3.010 -2.642 -3.966 -0.431" Properties=species:S:1:pos:R:3 pbc="T T T"
I -4.461 -6.166 4.399
I -1.487 -2.055 1.466
Fe 0.000 0.000 0.000
Ta -2.974 -4.110 2.933
```

Output
The value obtained for the raw total energy is -4.759 eV per atom. The value obtained for the energy above the most stable polymorph in this dataset is 0.000 eV per atom.

=====

Here is a relaxed structure of TaFe3I from the Alexandria database. Energies are from GGA-PBE.

Cell and atoms, written as extended XYZ:
```
5
Lattice="4.703 0.000 0.000 0.000 4.703 0.000 0.000 0.000 4.703" Properties=species:S:1:pos:R:3 pbc="T T T"
Fe 0.000 2.352 0.000
Fe 2.352 0.000 0.000
Fe 0.000 0.000 2.352
I 2.352 2.352 2.352
Ta 0.000 0.000 0.000
```

Output
The value obtained for the raw total energy is -6.216 eV per atom. The value obtained for the energy above the most stable polymorph in this dataset is 0.000 eV per atom.

=====

Here is a relaxed structure of TaFe3I from the Alexandria database. Energies are from GGA-PBE.

Cell and atoms, written as extended XYZ:
```
5
Lattice="4.530 0.000 0.000 0.000 4.530 0.000 0.000 0.000 4.530" Properties=species:S:1:pos:R:3 pbc="T T T"
Fe 2.265 0.000 0.000
Fe 0.000 2.265 0.000
Fe 0.000 0.000 2.265
I 0.000 0.000 0.000
Ta 2.265 2.265 2.265
```

Output
The value obtained for the raw total energy is -5.986 eV per atom. The value obtained for the energy above the most stable polymorph in this dataset is 0.230 eV per atom.

=====

Which formation energy (no corrections) belongs to each record? In order, 0.231, -0.458, -0.494, -0.803, 1.170, 1.095, 1.542, 1.772 eV per atom.